1.
LaIn2: optimized geometry, GGA-PBEsol.

a b c (Å): 7.3330 7.3330 7.3330
angles (deg): 90.00 90.00 90.00
Closest atoms and distances in Å follow each position.
Space group Fm-3m (No. 225)
Asymmetric unit:
La 0.0000 0.0000 0.0000  8 In 3.18
In 0.2500 0.2500 0.2500  4 La 3.18

Values from the calculation:
Calculated formation energy ... -5.2 kJ per mole of atoms
Fermi-level density of states ... 9.9 states/eV/cell

***

2.
La5In: optimized geometry, GGA-PBEsol.

a b c (Å): 5.7636 3.6474 18.1780
angles (deg): 90.00 90.00 90.00
Closest atoms and distances in Å follow each position.
Space group Amm2 (No. 38)
Asymmetric unit:
La 0.0000 0.0000 0.0000  2 In 3.46, 10 La 3.53-3.78
La 0.0000 0.0000 0.3176  2 In 3.37, 8 La 3.49-3.76
La 0.5000 0.0000 0.1228  8 La 3.34-3.65, 4 In 3.48
La 0.5000 0.0000 0.4504  12 La 3.53-3.76
La 0.5000 0.0000 0.7769  10 La 3.34-3.65, 2 In 3.56
In 0.0000 0.0000 0.6618  10 La 3.37-3.56, 2 In 3.65

Values from the calculation:
Distance to the lowest polymorph of the same formula ... 0.040 eV/atom
Calculated formation energy ... -14.3 kJ per mole of atoms
Fermi-level density of states ... 16.7 states/eV/cell

***

3.
LaIn5: optimized geometry, GGA-PBEsol.

a b c (Å): 4.6465 13.2722 4.9755
angles (deg): 90.00 90.00 90.00
Closest atoms and distances in Å follow each position.
Space group Cmmm (No. 65)
Asymmetric unit:
La 0.0000 0.0000 0.0000  12 In 3.32-3.40
In 0.0000 0.1697 0.5000  10 In 3.15-3.41, 2 La 3.36
In 0.0000 0.3217 0.0000  4 In 3.00-3.20, 2 La 3.32
In 0.0000 0.5000 0.5000  8 In 3.24-3.43, 4 La 3.40

Values from the calculation:
Calculated formation energy ... -30.3 kJ per mole of atoms
Fermi-level density of states ... 5.5 states/eV/cell

***

4.
La4In5: optimized geometry, GGA-PBEsol.

a b c (Å): 9.5492 9.5492 6.5892
angles (deg): 90.00 90.00 120.00
Closest atoms and distances in Å follow each position.
Space group P6_3/mcm (No. 193)
Asymmetric unit:
La 0.0000 0.0000 0.0000  2 La 3.29, 6 In 3.36
La 0.0000 0.3669 0.2500  9 In 3.12-3.45
In 0.0000 0.3063 0.7500  7 La 3.12-3.36
In 0.3333 0.6667 0.0000  2 In 3.29, 6 La 3.45

Values from the calculation:
Calculated formation energy ... -45.3 kJ per mole of atoms
Fermi-level density of states ... 15.6 states/eV/cell